{
  "formula": "Pm4Pr2Sm3",
  "functional": "PBE-GGA",
  "state": "relaxed",
  "relative_energy_kj_per_mol_fu": 0,
  "total_energy_ev_per_atom": -4.688,
  "dos_at_fermi_per_ev_atom": 1.8727,
  "e_form_ev_per_atom": 0.06,
  "m_tot_mub_per_cell": 0.00,
  "cell": [[3.660, 0.000, 0.000], [-1.830, 3.170, 0.000], [0.000, 0.000, 27.235]],
  "species": ["Pm", "Pm", "Pm", "Pm", "Pr", "Pr", "Sm", "Sm", "Sm"],
  "fractional_positions": [[0.000, 0.000, 0.000], [0.000, 0.000, 0.216], [0.333, 0.667, 0.324], [0.333, 0.667, 0.541], [0.000, 0.000, 0.652], [0.000, 0.000, 0.871], [0.000, 0.000, 0.433], [0.333, 0.667, 0.105], [0.333, 0.667, 0.764]]
}


{
  "formula": "Pm2Pr6Sm3",
  "functional": "PBE-GGA",
  "state": "relaxed",
  "relative_energy_kj_per_mol_fu": 272,
  "total_energy_ev_per_atom": -4.492,
  "dos_at_fermi_per_ev_atom": 1.5089,
  "e_form_ev_per_atom": 0.27,
  "m_tot_mub_per_cell": 0.00,
  "cell": [[-2.412, 2.412, 17.327], [2.412, -2.412, 17.327], [2.412, 2.412, -17.327]],
  "species": ["Pm", "Pm", "Pr", "Pr", "Pr", "Pr", "Pr", "Pr", "Sm", "Sm", "Sm"],
  "fractional_positions": [[0.045, 0.045, 0.000], [0.955, 0.955, 0.000], [0.120, 0.620, 0.500], [0.207, 0.207, 0.000], [0.380, 0.880, 0.500], [0.620, 0.120, 0.500], [0.793, 0.793, 0.000], [0.880, 0.380, 0.500], [0.306, 0.306, 0.000], [0.500, 0.500, 0.000], [0.694, 0.694, 0.000]]
}


{
  "formula": "Pm7PrSm4",
  "functional": "PBE-GGA",
  "state": "relaxed",
  "relative_energy_kj_per_mol_fu": 0,
  "total_energy_ev_per_atom": -4.736,
  "dos_at_fermi_per_ev_atom": 1.2784,
  "e_form_ev_per_atom": 0.01,
  "m_tot_mub_per_cell": 0.00,
  "cell": [[6.364, 0.000, 0.000], [0.002, 7.356, 0.000], [2.126, 0.010, 8.827]],
  "species": ["Pm", "Pm", "Pm", "Pm", "Pm", "Pm", "Pm", "Pr", "Sm", "Sm", "Sm", "Sm"],
  "fractional_positions": [[0.000, 0.000, 0.000], [0.222, 0.500, 0.333], [0.279, 0.249, 0.666], [0.500, 0.249, 0.000], [0.500, 0.751, 0.000], [0.721, 0.751, 0.334], [0.778, 0.500, 0.667], [0.000, 0.500, 0.000], [0.221, 0.000, 0.333], [0.278, 0.751, 0.667], [0.722, 0.249, 0.333], [0.779, 0.000, 0.667]]
}


{
  "formula": "Pm3Pr5Sm",
  "functional": "PBE-GGA",
  "state": "relaxed",
  "relative_energy_kj_per_mol_fu": 111,
  "total_energy_ev_per_atom": -4.382,
  "dos_at_fermi_per_ev_atom": 1.5482,
  "e_form_ev_per_atom": 0.38,
  "m_tot_mub_per_cell": 0.00,
  "cell": [[8.695, -4.195, 0.000], [8.695, 4.195, 0.000], [-2.636, 0.000, 9.312]],
  "species": ["Pm", "Pm", "Pm", "Pm", "Pm", "Pm", "Pr", "Pr", "Pr", "Pr", "Pr", "Pr", "Pr", "Pr", "Pr", "Pr", "Sm", "Sm"],
  "fractional_positions": [[0.000, 0.000, 0.000], [0.000, 0.000, 0.500], [0.151, 0.151, 0.287], [0.308, 0.308, 0.726], [0.692, 0.692, 0.274], [0.849, 0.849, 0.713], [0.129, 0.550, 0.420], [0.306, 0.306, 0.080], [0.322, 0.678, 0.000], [0.450, 0.871, 0.580], [0.498, 0.498, 0.325], [0.502, 0.502, 0.675], [0.550, 0.129, 0.420], [0.678, 0.322, 0.000], [0.694, 0.694, 0.920], [0.871, 0.450, 0.580], [0.124, 0.124, 0.836], [0.876, 0.876, 0.164]]
}


{
  "formula": "Pm4Pr5Sm",
  "functional": "PBE-GGA",
  "state": "relaxed",
  "relative_energy_kj_per_mol_fu": 88,
  "total_energy_ev_per_atom": -4.530,
  "dos_at_fermi_per_ev_atom": 1.4747,
  "e_form_ev_per_atom": 0.23,
  "m_tot_mub_per_cell": 0.00,
  "cell": [[-5.318, 5.318, 3.163], [5.318, -5.318, 3.163], [5.318, 5.318, -3.163]],
  "species": ["Pm", "Pm", "Pm", "Pm", "Pr", "Pr", "Pr", "Pr", "Pr", "Sm"],
  "fractional_positions": [[0.000, 0.326, 0.326], [0.000, 0.674, 0.674], [0.326, 0.000, 0.326], [0.674, 0.000, 0.674], [0.289, 0.289, 0.621], [0.289, 0.668, 0.000], [0.668, 0.289, 0.000], [0.668, 0.668, 0.379], [0.753, 0.753, 0.000], [0.215, 0.215, 0.000]]
}


{
  "formula": "Pm7PrSm2",
  "functional": "PBE-GGA",
  "state": "relaxed",
  "relative_energy_kj_per_mol_fu": 0,
  "total_energy_ev_per_atom": -4.368,
  "dos_at_fermi_per_ev_atom": 1.5526,
  "e_form_ev_per_atom": 0.38,
  "m_tot_mub_per_cell": 0.00,
  "cell": [[6.047, -8.525, 0.000], [6.047, 8.525, 0.000], [0.000, 0.000, 3.532]],
  "species": ["Pm", "Pm", "Pm", "Pm", "Pm", "Pm", "Pm", "Pr", "Sm", "Sm"],
  "fractional_positions": [[0.000, 0.000, 0.000], [0.113, 0.373, 0.000], [0.175, 0.825, 0.500], [0.373, 0.113, 0.000], [0.627, 0.887, 0.000], [0.825, 0.175, 0.500], [0.887, 0.627, 0.000], [0.500, 0.500, 0.500], [0.328, 0.672, 0.000], [0.672, 0.328, 0.000]]
}


{
  "formula": "Pm7PrSm2",
  "functional": "PBE-GGA",
  "state": "relaxed",
  "relative_energy_kj_per_mol_fu": 246,
  "total_energy_ev_per_atom": -4.113,
  "dos_at_fermi_per_ev_atom": 1.4806,
  "e_form_ev_per_atom": 0.63,
  "m_tot_mub_per_cell": 0.00,
  "cell": [[4.443, -8.180, 0.000], [4.443, 8.180, 0.000], [0.000, 0.000, 5.667]],
  "species": ["Pm", "Pm", "Pm", "Pm", "Pm", "Pm", "Pm", "Pr", "Sm", "Sm"],
  "fractional_positions": [[0.000, 0.000, 0.000], [0.206, 0.435, 0.000], [0.274, 0.726, 0.500], [0.435, 0.206, 0.000], [0.565, 0.794, 0.000], [0.726, 0.274, 0.500], [0.794, 0.565, 0.000], [0.500, 0.500, 0.500], [0.203, 0.797, 0.000], [0.797, 0.203, 0.000]]
}


{
  "formula": "Pm3Pr4Sm5",
  "functional": "PBE-GGA",
  "state": "relaxed",
  "relative_energy_kj_per_mol_fu": 0,
  "total_energy_ev_per_atom": -4.734,
  "dos_at_fermi_per_ev_atom": 1.5046,
  "e_form_ev_per_atom": 0.01,
  "m_tot_mub_per_cell": 0.00,
  "cell": [[6.349, 0.000, 0.000], [-0.002, 7.316, 0.000], [-0.017, -0.004, 8.979]],
  "species": ["Pm", "Pm", "Pm", "Pr", "Pr", "Pr", "Pr", "Sm", "Sm", "Sm", "Sm", "Sm"],
  "fractional_positions": [[0.000, 0.000, 0.000], [0.167, 0.751, 0.668], [0.833, 0.249, 0.332], [0.167, 0.248, 0.668], [0.333, 0.500, 0.332], [0.667, 0.500, 0.668], [0.833, 0.752, 0.332], [0.000, 0.500, 0.000], [0.334, 0.000, 0.332], [0.499, 0.751, 0.000], [0.501, 0.249, 0.000], [0.666, 0.000, 0.668]]
}